w) Crystalline AlVNi4 at its relaxed geometry, computed with PBE-GGA.

CIF file:
```
data_AlVNi4
_chemical_formula_sum 'Al2 V2 Ni8'
_cell_length_a 8.508
_cell_length_b 2.627
_cell_length_c 6.773
_cell_angle_alpha 90.00
_cell_angle_beta 113.45
_cell_angle_gamma 90.00
_space_group_name_H-M_alt 'C 1 2/m 1'
_space_group_IT_number 12
loop_
_space_group_symop_operation_xyz
'x,y,z'
'-x,-y,-z'
'-x,y,-z'
'x,-y,z'
'x+1/2,y+1/2,z'
'-x+1/2,-y+1/2,-z'
'-x+1/2,y+1/2,-z'
'x+1/2,-y+1/2,z'
loop_
_atom_site_label
_atom_site_type_symbol
_atom_site_fract_x
_atom_site_fract_y
_atom_site_fract_z
_atom_site_occupancy
Al1 Al 0.000 0.000 0.000 1
V1 V 0.000 0.000 0.500 1
Ni1 Ni 0.162 0.500 0.833 1
Ni2 Ni 0.170 0.500 0.333 1
```

## Properties
size of the total moment: 0.000 μB/atom

---

x) Crystalline AlVNi4 at its relaxed geometry, computed with PBE-GGA.

CIF file:
```
data_AlVNi4
_chemical_formula_sum 'Al4 V4 Ni16'
_cell_length_a 6.605
_cell_length_b 6.605
_cell_length_c 6.605
_cell_angle_alpha 90.00
_cell_angle_beta 90.00
_cell_angle_gamma 90.00
_space_group_name_H-M_alt 'F -4 3 m'
_space_group_IT_number 216
_space_group_name_Hall 'F -4 2 3'
loop_
_atom_site_label
_atom_site_type_symbol
_atom_site_fract_x
_atom_site_fract_y
_atom_site_fract_z
_atom_site_occupancy
Al1 Al 0.000 0.000 0.000 1
V1 V 0.250 0.250 0.750 1
Ni1 Ni 0.125 0.125 0.375 1
```

## Properties
size of the total moment: 0.180 μB/atom

---

Energy comparison, zero being the most stable, in eV/atom: w) 0.000; x) 0.150.

---

w) Crystalline Al2VNi2 at its relaxed geometry, computed with PBE-GGA.

CIF file:
```
data_Al2VNi2
_chemical_formula_sum 'Al4 V2 Ni4'
_cell_length_a 6.978
_cell_length_b 6.978
_cell_length_c 2.630
_cell_angle_alpha 90.00
_cell_angle_beta 90.00
_cell_angle_gamma 90.00
_space_group_name_H-M_alt 'P 4/m b m'
_space_group_IT_number 127
_space_group_name_Hall '-P 4 2ab'
loop_
_atom_site_label
_atom_site_type_symbol
_atom_site_fract_x
_atom_site_fract_y
_atom_site_fract_z
_atom_site_occupancy
Al1 Al 0.165 0.335 0.000 1
V1 V 0.000 0.000 0.500 1
Ni1 Ni 0.132 0.632 0.500 1
```

## Properties
size of the total moment: 0.000 μB/atom

---

x) Crystalline Al2VNi2 at its relaxed geometry, computed with PBE-GGA.

CIF file:
```
data_Al2VNi2
_chemical_formula_sum 'Al4 V2 Ni4'
_cell_length_a 7.031
_cell_length_b 7.031
_cell_length_c 2.604
_cell_angle_alpha 90.00
_cell_angle_beta 90.00
_cell_angle_gamma 90.00
_space_group_name_H-M_alt 'P 4/m b m'
_space_group_IT_number 127
_space_group_name_Hall '-P 4 2ab'
loop_
_atom_site_label
_atom_site_type_symbol
_atom_site_fract_x
_atom_site_fract_y
_atom_site_fract_z
_atom_site_occupancy
Al1 Al 0.139 0.361 0.000 1
V1 V 0.000 0.000 0.000 1
Ni1 Ni 0.158 0.658 0.500 1
```

## Properties
size of the total moment: 0.285 μB/atom

---

Energy comparison, zero being the most stable, in eV/atom: w) 0.000; x) 0.024.

---

w) Crystalline AlVNi5 at its relaxed geometry, computed with PBE-GGA.

CIF file:
```
data_AlVNi5
_chemical_formula_sum 'Al1 V1 Ni5'
_cell_length_a 3.569
_cell_length_b 3.569
_cell_length_c 6.739
_cell_angle_alpha 90.00
_cell_angle_beta 90.00
_cell_angle_gamma 90.00
_space_group_name_H-M_alt 'P 4/m m m'
_space_group_IT_number 123
_space_group_name_Hall '-P 4 2'
loop_
_atom_site_label
_atom_site_type_symbol
_atom_site_fract_x
_atom_site_fract_y
_atom_site_fract_z
_atom_site_occupancy
Al1 Al 0.000 0.000 0.000 1
V1 V 0.500 0.500 0.500 1
Ni1 Ni 0.000 0.500 0.268 1
Ni2 Ni 0.500 0.500 0.000 1
```

## Properties
size of the total moment: 0.000 μB/atom

---

x) Crystalline AlVNi5 at its relaxed geometry, computed with PBE-GGA.

CIF file:
```
data_AlVNi5
_chemical_formula_sum 'Al4 V4 Ni20'
_cell_length_a 8.237
_cell_length_b 8.525
_cell_length_c 5.962
_cell_angle_alpha 90.00
_cell_angle_beta 116.28
_cell_angle_gamma 90.00
_space_group_name_H-M_alt 'C 1 2/c 1'
_space_group_IT_number 15
loop_
_space_group_symop_operation_xyz
'x,y,z'
'-x,-y,-z'
'-x,y,-z+1/2'
'x,-y,z+1/2'
'x+1/2,y+1/2,z'
'-x+1/2,-y+1/2,-z'
'-x+1/2,y+1/2,-z+1/2'
'x+1/2,-y+1/2,z+1/2'
loop_
_atom_site_label
_atom_site_type_symbol
_atom_site_fract_x
_atom_site_fract_y
_atom_site_fract_z
_atom_site_occupancy
Al1 Al 0.000 0.000 0.000 1
V1 V 0.000 0.473 0.250 1
Ni1 Ni 0.000 0.206 0.250 1
Ni2 Ni 0.111 0.297 0.972 1
Ni3 Ni 0.204 0.374 0.639 1
```

## Properties
size of the total moment: 0.000 μB/atom

---

Energy comparison, zero being the most stable, in eV/atom: w) 0.000; x) 0.196.

---

w) Crystalline Al2V2Ni at its relaxed geometry, computed with PBE-GGA.

CIF file:
```
data_Al2V2Ni
_chemical_formula_sum 'Al4 V4 Ni2'
_cell_length_a 3.071
_cell_length_b 3.071
_cell_length_c 14.272
_cell_angle_alpha 90.00
_cell_angle_beta 90.00
_cell_angle_gamma 90.00
_space_group_name_H-M_alt 'I 4/m m m'
_space_group_IT_number 139
_space_group_name_Hall '-I 4 2'
loop_
_atom_site_label
_atom_site_type_symbol
_atom_site_fract_x
_atom_site_fract_y
_atom_site_fract_z
_atom_site_occupancy
Al1 Al 0.000 0.000 0.096 1
V1 V 0.000 0.000 0.289 1
Ni1 Ni 0.000 0.000 0.500 1
```

## Properties
size of the total moment: 0.000 μB/atom

---

x) Crystalline Al2V2Ni at its relaxed geometry, computed with PBE-GGA.

CIF file:
```
data_Al2V2Ni
_chemical_formula_sum 'Al4 V4 Ni2'
_cell_length_a 6.037
_cell_length_b 6.037
_cell_length_c 3.892
_cell_angle_alpha 90.00
_cell_angle_beta 90.00
_cell_angle_gamma 90.00
_space_group_name_H-M_alt 'P 4/m b m'
_space_group_IT_number 127
_space_group_name_Hall '-P 4 2ab'
loop_
_atom_site_label
_atom_site_type_symbol
_atom_site_fract_x
_atom_site_fract_y
_atom_site_fract_z
_atom_site_occupancy
Al1 Al 0.148 0.352 0.000 1
V1 V 0.151 0.651 0.500 1
Ni1 Ni 0.000 0.000 0.000 1
```

## Properties
size of the total moment: 0.131 μB/atom

---

Energy comparison, zero being the most stable, in eV/atom: w) 0.000; x) 0.296.

---

w) Crystalline AlV2Ni8 at its relaxed geometry, computed with PBE-GGA.

CIF file:
```
data_AlV2Ni8
_chemical_formula_sum 'Al2 V4 Ni16'
_cell_length_a 3.894
_cell_length_b 6.035
_cell_length_c 11.003
_cell_angle_alpha 90.00
_cell_angle_beta 90.00
_cell_angle_gamma 90.00
_space_group_name_H-M_alt 'I m m m'
_space_group_IT_number 71
_space_group_name_Hall '-I 2 2'
loop_
_atom_site_label
_atom_site_type_symbol
_atom_site_fract_x
_atom_site_fract_y
_atom_site_fract_z
_atom_site_occupancy
Al1 Al 0.000 0.000 0.000 1
V1 V 0.000 0.000 0.302 1
Ni1 Ni 0.000 0.203 0.500 1
Ni2 Ni 0.000 0.288 0.147 1
Ni3 Ni 0.000 0.500 0.341 1
```

## Properties
size of the total moment: 0.000 μB/atom

---

x) Crystalline AlV2Ni8 at its relaxed geometry, computed with PBE-GGA.

CIF file:
```
data_AlV2Ni8
_chemical_formula_sum 'Al2 V4 Ni16'
_cell_length_a 6.538
_cell_length_b 12.339
_cell_length_c 4.375
_cell_angle_alpha 90.00
_cell_angle_beta 131.52
_cell_angle_gamma 90.00
_space_group_name_H-M_alt 'C 1 2/m 1'
_space_group_IT_number 12
loop_
_space_group_symop_operation_xyz
'x,y,z'
'-x,-y,-z'
'-x,y,-z'
'x,-y,z'
'x+1/2,y+1/2,z'
'-x+1/2,-y+1/2,-z'
'-x+1/2,y+1/2,-z'
'x+1/2,-y+1/2,z'
loop_
_atom_site_label
_atom_site_type_symbol
_atom_site_fract_x
_atom_site_fract_y
_atom_site_fract_z
_atom_site_occupancy
Al1 Al 0.000 0.000 0.000 1
V1 V 0.000 0.316 0.500 1
Ni1 Ni 0.000 0.195 0.000 1
Ni2 Ni 0.007 0.500 0.754 1
Ni3 Ni 0.240 0.136 0.737 1
```

## Properties
size of the total moment: 0.000 μB/atom

---

Energy comparison, zero being the most stable, in eV/atom: w) 0.000; x) 0.077.

---

w) Crystalline Al2Ni2W at its relaxed geometry, computed with PBE-GGA.

CIF file:
```
data_Al2Ni2W
_chemical_formula_sum 'Al4 Ni4 W2'
_cell_length_a 7.021
_cell_length_b 7.021
_cell_length_c 2.654
_cell_angle_alpha 90.00
_cell_angle_beta 90.00
_cell_angle_gamma 90.00
_space_group_name_H-M_alt 'P 4/m b m'
_space_group_IT_number 127
_space_group_name_Hall '-P 4 2ab'
loop_
_atom_site_label
_atom_site_type_symbol
_atom_site_fract_x
_atom_site_fract_y
_atom_site_fract_z
_atom_site_occupancy
Al1 Al 0.167 0.333 0.000 1
Ni1 Ni 0.129 0.629 0.500 1
W1 W 0.000 0.000 0.500 1
```

## Properties
size of the total moment: 0.000 μB/atom

---

x) Crystalline Al2Ni2W at its relaxed geometry, computed with PBE-GGA.

CIF file:
```
data_Al2Ni2W
_chemical_formula_sum 'Al4 Ni4 W2'
_cell_length_a 7.020
_cell_length_b 7.020
_cell_length_c 2.656
_cell_angle_alpha 90.00
_cell_angle_beta 90.00
_cell_angle_gamma 90.00
_space_group_name_H-M_alt 'P 4/m b m'
_space_group_IT_number 127
_space_group_name_Hall '-P 4 2ab'
loop_
_atom_site_label
_atom_site_type_symbol
_atom_site_fract_x
_atom_site_fract_y
_atom_site_fract_z
_atom_site_occupancy
Al1 Al 0.139 0.361 0.000 1
Ni1 Ni 0.158 0.658 0.500 1
W1 W 0.000 0.000 0.000 1
```

## Properties
size of the total moment: 0.000 μB/atom

---

Energy comparison, zero being the most stable, in eV/atom: w) 0.000; x) 0.023.

---

w) Crystalline AlNi3W at its relaxed geometry, computed with PBE-GGA.

CIF file:
```
data_AlNi3W
_chemical_formula_sum 'Al1 Ni3 W1'
_cell_length_a 4.149
_cell_length_b 4.149
_cell_length_c 4.149
_cell_angle_alpha 90.00
_cell_angle_beta 90.00
_cell_angle_gamma 90.00
_space_group_name_H-M_alt 'P m -3 m'
_space_group_IT_number 221
_space_group_name_Hall '-P 4 2 3'
loop_
_atom_site_label
_atom_site_type_symbol
_atom_site_fract_x
_atom_site_fract_y
_atom_site_fract_z
_atom_site_occupancy
Al1 Al 0.000 0.000 0.000 1
Ni1 Ni 0.000 0.000 0.500 1
W1 W 0.500 0.500 0.500 1
```

## Properties
size of the total moment: 0.386 μB/atom

---

x) Crystalline AlNi3W at its relaxed geometry, computed with PBE-GGA.

CIF file:
```
data_AlNi3W
_chemical_formula_sum 'Al1 Ni3 W1'
_cell_length_a 4.513
_cell_length_b 4.513
_cell_length_c 4.513
_cell_angle_alpha 90.00
_cell_angle_beta 90.00
_cell_angle_gamma 90.00
_space_group_name_H-M_alt 'P m -3 m'
_space_group_IT_number 221
_space_group_name_Hall '-P 4 2 3'
loop_
_atom_site_label
_atom_site_type_symbol
_atom_site_fract_x
_atom_site_fract_y
_atom_site_fract_z
_atom_site_occupancy
Al1 Al 0.000 0.000 0.000 1
Ni1 Ni 0.000 0.500 0.500 1
W1 W 0.500 0.500 0.500 1
```

## Properties
size of the total moment: 0.000 μB/atom

---

Energy comparison, zero being the most stable, in eV/atom: w) 0.000; x) 0.321.

---

w) Crystalline Y4AlNi at its relaxed geometry, computed with PBE-GGA.

CIF file:
```
data_Y4AlNi
_chemical_formula_sum 'Y16 Al4 Ni4'
_cell_length_a 8.615
_cell_length_b 12.448
_cell_length_c 6.137
_cell_angle_alpha 90.00
_cell_angle_beta 106.63
_cell_angle_gamma 90.00
_space_group_name_H-M_alt 'C 1 2/c 1'
_space_group_IT_number 15
loop_
_space_group_symop_operation_xyz
'x,y,z'
'-x,-y,-z'
'-x,y,-z+1/2'
'x,-y,z+1/2'
'x+1/2,y+1/2,z'
'-x+1/2,-y+1/2,-z'
'-x+1/2,y+1/2,-z+1/2'
'x+1/2,-y+1/2,z+1/2'
loop_
_atom_site_label
_atom_site_type_symbol
_atom_site_fract_x
_atom_site_fract_y
_atom_site_fract_z
_atom_site_occupancy
Y1 Y 0.110 0.166 0.042 1
Y2 Y 0.205 0.415 0.403 1
Al1 Al 0.000 0.376 0.750 1
Ni1 Ni 0.000 0.002 0.250 1
```

## Properties
size of the total moment: 0.000 μB/atom

---

x) Crystalline Y4AlNi at its relaxed geometry, computed with PBE-GGA.

CIF file:
```
data_Y4AlNi
_chemical_formula_sum 'Y16 Al4 Ni4'
_cell_length_a 8.637
_cell_length_b 8.637
_cell_length_c 8.637
_cell_angle_alpha 90.00
_cell_angle_beta 90.00
_cell_angle_gamma 90.00
_space_group_name_H-M_alt 'F -4 3 m'
_space_group_IT_number 216
_space_group_name_Hall 'F -4 2 3'
loop_
_atom_site_label
_atom_site_type_symbol
_atom_site_fract_x
_atom_site_fract_y
_atom_site_fract_z
_atom_site_occupancy
Y1 Y 0.125 0.125 0.125 1
Al1 Al 0.250 0.250 0.750 1
Ni1 Ni 0.000 0.000 0.500 1
```

## Properties
size of the total moment: 0.000 μB/atom

---

Energy comparison, zero being the most stable, in eV/atom: w) 0.000; x) 0.876.

---

w) Crystalline Y3AlNi8 at its relaxed geometry, computed with PBE-GGA.

CIF file:
```
data_Y3AlNi8
_chemical_formula_sum 'Y6 Al2 Ni16'
_cell_length_a 5.0855
_cell_length_b 5.0855
_cell_length_c 16.4720
_cell_angle_alpha 90.00
_cell_angle_beta 90.00
_cell_angle_gamma 120.00
_space_group_name_H-M_alt 'P 63/m m c'
_space_group_IT_number 194
_space_group_name_Hall '-P 6c 2c'
loop_
_atom_site_label
_atom_site_type_symbol
_atom_site_fract_x
_atom_site_fract_y
_atom_site_fract_z
_atom_site_occupancy
Y1 Y 0.0000 0.0000 0.2500 1
Y2 Y 0.3333 0.6667 0.0481 1
Al1 Al 0.3333 0.6667 0.2500 1
Ni1 Ni 0.0000 0.0000 0.0000 1
Ni2 Ni 0.1742 0.3484 0.6181 1
Ni3 Ni 0.3333 0.6667 0.7500 1
```

## Properties
size of the total moment: 0.000 μB/atom

---

x) Crystalline Y3AlNi8 at its relaxed geometry, computed with PBE-GGA.

CIF file:
```
data_Y3AlNi8
_chemical_formula_sum 'Y6 Al2 Ni16'
_cell_length_a 5.0684
_cell_length_b 5.0684
_cell_length_c 16.6892
_cell_angle_alpha 90.00
_cell_angle_beta 90.00
_cell_angle_gamma 120.00
_space_group_name_H-M_alt 'P 63/m m c'
_space_group_IT_number 194
_space_group_name_Hall '-P 6c 2c'
loop_
_atom_site_label
_atom_site_type_symbol
_atom_site_fract_x
_atom_site_fract_y
_atom_site_fract_z
_atom_site_occupancy
Y1 Y 0.3333 0.6667 0.0477 1
Y2 Y 0.3333 0.6667 0.7500 1
Al1 Al 0.3333 0.6667 0.2500 1
Ni1 Ni 0.0000 0.0000 0.0000 1
Ni2 Ni 0.0000 0.0000 0.2500 1
Ni3 Ni 0.1619 0.3239 0.6198 1
```

## Properties
size of the total moment: 0.000 μB/atom

---

y) Crystalline Y3AlNi8 at its relaxed geometry, computed with PBE-GGA.

CIF file:
```
data_Y3AlNi8
_chemical_formula_sum 'Y9 Al3 Ni24'
_cell_length_a 4.9979
_cell_length_b 4.9979
_cell_length_c 24.5274
_cell_angle_alpha 90.00
_cell_angle_beta 90.00
_cell_angle_gamma 120.00
_space_group_name_H-M_alt 'R 3 m'
_space_group_IT_number 160
_space_group_name_Hall 'R 3 -2"'
loop_
_atom_site_label
_atom_site_type_symbol
_atom_site_fract_x
_atom_site_fract_y
_atom_site_fract_z
_atom_site_occupancy
Y1 Y 0.0000 0.0000 0.0000 1
Y2 Y 0.0000 0.0000 0.1282 1
Y3 Y 0.0000 0.0000 0.6157 1
Al1 Al 0.0000 0.0000 0.4923 1
Ni1 Ni 0.0000 0.0000 0.3116 1
Ni2 Ni 0.0000 0.0000 0.8119 1
Ni3 Ni 0.0019 0.5010 0.5596 1
Ni4 Ni 0.0032 0.5016 0.0631 1
```

## Properties
size of the total moment: 0.000 μB/atom

---

Energy comparison, zero being the most stable, in eV/atom: w) 0.134; x) 0.171; y) 0.000.

---

w) Crystalline Al4ZnNi at its relaxed geometry, computed with PBE-GGA.

CIF file:
```
data_Al4ZnNi
_chemical_formula_sum 'Al16 Zn4 Ni4'
_cell_length_a 8.345
_cell_length_b 8.287
_cell_length_c 7.059
_cell_angle_alpha 90.00
_cell_angle_beta 126.11
_cell_angle_gamma 90.00
_space_group_name_H-M_alt 'C 1 2/c 1'
_space_group_IT_number 15
loop_
_space_group_symop_operation_xyz
'x,y,z'
'-x,-y,-z'
'-x,y,-z+1/2'
'x,-y,z+1/2'
'x+1/2,y+1/2,z'
'-x+1/2,-y+1/2,-z'
'-x+1/2,y+1/2,-z+1/2'
'x+1/2,-y+1/2,z+1/2'
loop_
_atom_site_label
_atom_site_type_symbol
_atom_site_fract_x
_atom_site_fract_y
_atom_site_fract_z
_atom_site_occupancy
Al1 Al 0.117 0.115 0.002 1
Al2 Al 0.136 0.366 0.502 1
Zn1 Zn 0.000 0.375 0.750 1
Ni1 Ni 0.000 0.125 0.250 1
```

## Properties
size of the total moment: 0.000 μB/atom

---

x) Crystalline Al4ZnNi at its relaxed geometry, computed with PBE-GGA.

CIF file:
```
data_Al4ZnNi
_chemical_formula_sum 'Al16 Zn4 Ni4'
_cell_length_a 7.299
_cell_length_b 7.299
_cell_length_c 7.299
_cell_angle_alpha 90.00
_cell_angle_beta 90.00
_cell_angle_gamma 90.00
_space_group_name_H-M_alt 'F -4 3 m'
_space_group_IT_number 216
_space_group_name_Hall 'F -4 2 3'
loop_
_atom_site_label
_atom_site_type_symbol
_atom_site_fract_x
_atom_site_fract_y
_atom_site_fract_z
_atom_site_occupancy
Al1 Al 0.125 0.125 0.125 1
Zn1 Zn 0.250 0.250 0.750 1
Ni1 Ni 0.000 0.000 0.500 1
```

## Properties
size of the total moment: 0.000 μB/atom

---

Energy comparison, zero being the most stable, in eV/atom: w) 0.000; x) 0.480.